Entry 1:
Entry from Alexandria: NaLiInHg after structural relaxation (GGA-PBE).

Computed properties:
The density of states at the Fermi level is 0.835 states/eV/f.u. The distance to the lowest polymorph of the same formula comes out at 0.000 eV/atom. As for the energy relative to the elements: -0.247 eV/atom. The magnetic moment comes out at 0.00 μB/f.u. As for the space-group type: P4mm (99).

Cell lengths 3.3398, 3.3398, 8.0763 Å; angles 90.00, 90.00, 90.00 degrees
With the nearest neighbours (Å) after each atom.
Fractional positions:
Na: 0.0000 0.0000 0.0813  4 Hg 3.27, 4 Na 3.34, 4 In 3.38
Li: 0.0000 0.0000 0.5590  4 Hg 2.85, 4 In 2.97
In: 0.5000 0.5000 0.7826  4 Li 2.97
Hg: 0.5000 0.5000 0.3618  4 Li 2.85

Entry 2:
Entry from Alexandria: Cs2CuSbS4 after structural relaxation (GGA-PBE).

Computed properties:
The magnetic moment comes out at 0.11 μB/f.u. Its uncorrected formation energy is -655 meV per atom. As for the space-group type: Fddd (70).

Cell lengths 6.0700, 7.7579, 12.7689 Å; angles 84.66, 76.25, 66.97 degrees
With the nearest neighbours (Å) after each atom.
Fractional positions:
Cs: 0.1799 0.0000 0.6402  8 S 3.71-3.85
Cs: 0.8201 0.0000 0.3598  8 S 3.71-3.85
Cs: 0.5701 0.5000 0.8598  8 S 3.71-3.85
Cs: 0.9299 0.5000 0.1402  8 S 3.71-3.85
Cu: 0.2500 0.5000 0.5000  4 S 2.42
Cu: 0.5000 0.0000 0.0000  4 S 2.42
Sb: 0.7500 0.5000 0.5000  4 S 2.37
Sb: 0.0000 0.0000 0.0000  4 S 2.37
S: 0.2810 0.8175 0.1063  1 Sb 2.37, 1 Cu 2.42
S: 0.2047 0.1825 0.8937  1 Sb 2.37, 1 Cu 2.42
S: 0.9015 0.8175 0.8937  1 Sb 2.37, 1 Cu 2.42
S: 0.6128 0.1825 0.1063  1 Sb 2.37, 1 Cu 2.42
S: 0.4690 0.6825 0.3937  1 Sb 2.37, 1 Cu 2.42
S: 0.5453 0.3175 0.6063  1 Sb 2.37, 1 Cu 2.42
S: 0.8485 0.6825 0.6063  1 Sb 2.37, 1 Cu 2.42
S: 0.1372 0.3175 0.3937  1 Sb 2.37, 1 Cu 2.42

Ρ values (in g cm⁻³) by entry order: 6.366, 3.580.